The following is a DFT calculation (SCAN) of Cr2HOs at its PBEsol-relaxed geometry.

a = 3.965 Å, b = 3.965 Å, c = 3.965 Å
α = 60.00°, β = 60.00°, γ = 60.00°
Element x y z (fractional)
Cr 0.750 0.750 0.750
Os 0.500 0.500 0.500
Cr 0.250 0.250 0.250
H 0.000 0.000 0.000

Computed properties:
Total magnetization = 0.0005 μB/atom
Energy = -27.252 eV/atom
DOS at the Fermi energy = 2.9 states/eV per cell
Volume = 44.09 Å³/cell

---

The following is a DFT calculation (SCAN) of LiCa3S at its PBEsol-relaxed geometry.

a = 5.460 Å, b = 5.460 Å, c = 5.460 Å
α = 90.00°, β = 90.00°, γ = 90.00°
Element x y z (fractional)
Ca 0.000 0.000 0.500
Ca 0.000 0.500 0.000
Li 0.500 0.500 0.500
Ca 0.500 0.000 0.000
S 0.000 0.000 0.000

Computed properties:
Total magnetization = 0.0000 μB/atom
Energy = -9.004 eV/atom
DOS at the Fermi energy = 3.3 states/eV per cell
Volume = 162.77 Å³/cell
Formation energy (no corrections) = -0.8024 eV per atom

---

The following is a DFT calculation (SCAN) of SmYB12 at its PBEsol-relaxed geometry.

a = 4.088 Å, b = 4.088 Å, c = 8.169 Å
α = 90.00°, β = 90.00°, γ = 90.00°
Element x y z (fractional)
B 0.500 0.199 0.251
B 0.199 0.500 0.749
B 0.199 0.500 0.251
B 0.500 0.801 0.251
B 0.500 0.500 0.100
B 0.801 0.500 0.749
Sm 0.000 0.000 0.000
B 0.500 0.500 0.599
B 0.500 0.500 0.900
Y 0.000 0.000 0.500
B 0.500 0.801 0.749
B 0.500 0.199 0.749
B 0.500 0.500 0.401
B 0.801 0.500 0.251

Computed properties:
Total magnetization = 0.0000 μB/atom
Energy = -12.031 eV/atom
Formation energy = -0.50 eV/atom
DOS at the Fermi energy = 1.7 states/eV per cell
Volume = 136.53 Å³/cell

---

The following is a DFT calculation (SCAN) of ZnTeMo2 at its PBEsol-relaxed geometry.

a = 3.266 Å, b = 4.434 Å, c = 4.434 Å
α = 90.00°, β = 90.00°, γ = 90.00°
Element x y z (fractional)
Te 0.500 0.500 0.500
Zn 0.500 0.000 0.000
Mo 0.000 0.500 0.000
Mo 0.000 0.000 0.500

Computed properties:
Total magnetization = 0.0000 μB/atom
Energy = -29.639 eV/atom
DOS at the Fermi energy = 4.1 states/eV per cell
Volume = 64.22 Å³/cell
Formation energy (no corrections) = 0.4956 eV per atom

---

The following is a DFT calculation (SCAN) of Co2Mo at its PBEsol-relaxed geometry.

a = 4.612 Å, b = 4.612 Å, c = 15.044 Å
α = 90.00°, β = 90.00°, γ = 120.00°
Element x y z (fractional)
Mo 0.667 0.333 0.656
Co 0.836 0.673 0.250
Co 0.333 0.667 0.874
Co 0.500 0.500 0.500
Mo 0.000 0.000 0.910
Co 0.164 0.327 0.750
Mo 0.333 0.667 0.344
Co 0.667 0.333 0.126
Co 0.327 0.164 0.250
Co 0.667 0.333 0.374
Co 0.500 0.000 0.500
Co 0.333 0.667 0.626
Co 0.000 0.500 0.000
Co 0.164 0.836 0.750
Mo 0.667 0.333 0.844
Mo 0.333 0.667 0.156
Co 0.836 0.164 0.250
Co 0.500 0.500 0.000
Mo 0.000 0.000 0.090
Co 0.000 0.500 0.500
Co 0.673 0.836 0.750
Co 0.500 0.000 0.000
Mo 0.000 0.000 0.410
Mo 0.000 0.000 0.590

Computed properties:
Total magnetization = 1.1247 μB/atom
Energy = -23.044 eV/atom
Formation energy = 0.12 eV/atom
DOS at the Fermi energy = 20.4 states/eV per cell
Volume = 277.09 Å³/cell

---

The following is a DFT calculation (SCAN) of PrZn3P3 at its PBEsol-relaxed geometry.

a = 4.002 Å, b = 4.002 Å, c = 19.775 Å
α = 90.00°, β = 90.00°, γ = 120.00°
Element x y z (fractional)
P 0.667 0.333 0.750
Zn 0.333 0.667 0.371
P 0.667 0.333 0.411
Zn 0.667 0.333 0.250
P 0.333 0.667 0.911
P 0.333 0.667 0.250
Zn 0.667 0.333 0.629
P 0.667 0.333 0.089
P 0.333 0.667 0.589
Zn 0.333 0.667 0.750
Zn 0.667 0.333 0.871
Pr 0.000 0.000 0.500
Pr 0.000 0.000 0.000
Zn 0.333 0.667 0.129

Computed properties:
Total magnetization = 0.0000 μB/atom
Energy = -17.118 eV/atom
Formation energy = -0.68 eV/atom
DOS at the Fermi energy = 0.2 states/eV per cell
Volume = 274.26 Å³/cell